Record 1
Tb3SnH2: relaxed, GGA-PBE.

Computed properties:
The total energy comes out at -0.337 Ry per atom.

Cell lengths 11.796, 11.796, 6.308 Å; angles 104.20, 104.20, 17.55 degrees
Sites, in units of the cell vectors:
Tb: 0.034 0.034 0.277
Tb: 0.235 0.235 0.218
Tb: 0.395 0.395 0.141
Tb: 0.605 0.605 0.859
Tb: 0.765 0.765 0.782
Tb: 0.966 0.966 0.723
Sn: 0.351 0.351 0.585
Sn: 0.649 0.649 0.415
H: 0.057 0.057 0.948
H: 0.292 0.292 0.990
H: 0.708 0.708 0.010
H: 0.943 0.943 0.052

Record 2
PuHf2Bi3: relaxed, GGA-PBE.

Computed properties:
The total energy comes out at -0.570 Ry per atom. The value obtained for the energy of formation is -114 meV per atom.

Cell lengths 4.171, 11.698, 7.055 Å; angles 90.00, 90.00, 90.00 degrees
Sites, in units of the cell vectors:
Pu: 0.000 0.110 0.000
Pu: 0.000 0.890 0.500
Hf: 0.000 0.218 0.468
Hf: 0.000 0.782 0.968
Hf: 0.500 0.478 0.483
Hf: 0.500 0.522 0.983
Bi: 0.000 0.387 0.769
Bi: 0.000 0.613 0.269
Bi: 0.500 0.079 0.659
Bi: 0.500 0.295 0.189
Bi: 0.500 0.705 0.689
Bi: 0.500 0.921 0.159

Record 3
CdTeRh2: relaxed, GGA-PBE.

Computed properties:
The calculation puts the uncorrected formation energy at -5 kJ per mole of atoms. For the energy above the most stable polymorph in this dataset, the calculation gives 0.045 eV/atom. The total energy comes out at -0.348 Ry per atom.

Cell lengths 3.307, 4.016, 5.550 Å; angles 90.00, 90.00, 90.00 degrees
Sites, in units of the cell vectors:
Cd: 0.000 0.000 0.000
Te: 0.500 0.500 0.638
Rh: 0.000 0.000 0.488
Rh: 0.500 0.500 0.171

Record 4
CrHSe2: relaxed, GGA-PBE.

Computed properties:
For the energy above the most stable polymorph in this dataset, the calculation gives 0.637 eV/atom. The total energy comes out at -0.344 Ry per atom.

Cell lengths 5.019, 5.019, 8.558 Å; angles 90.00, 90.00, 90.00 degrees
Sites, in units of the cell vectors:
Cr: 0.000 0.250 0.375
Cr: 0.000 0.750 0.625
Cr: 0.500 0.250 0.125
Cr: 0.500 0.750 0.875
H: 0.000 0.250 0.875
H: 0.000 0.750 0.125
H: 0.500 0.250 0.625
H: 0.500 0.750 0.375
Se: 0.000 0.250 0.088
Se: 0.000 0.250 0.662
Se: 0.000 0.750 0.338
Se: 0.000 0.750 0.912
Se: 0.500 0.250 0.412
Se: 0.500 0.250 0.838
Se: 0.500 0.750 0.162
Se: 0.500 0.750 0.588

Record 5
La5NdY: relaxed, GGA-PBE.

Computed properties:
For the energy above the most stable polymorph in this dataset, the calculation gives 0.000 eV/atom. The total energy comes out at -0.367 Ry per atom. The value obtained for the energy of formation is 125 meV per atom.

Cell lengths 9.058, 9.058, 11.111 Å; angles 123.36, 123.36, 44.17 degrees
Sites, in units of the cell vectors:
La: 0.008 0.992 0.750
La: 0.078 0.572 0.908
La: 0.162 0.659 0.409
La: 0.341 0.838 0.091
La: 0.428 0.922 0.592
La: 0.572 0.078 0.408
La: 0.659 0.162 0.909
La: 0.838 0.341 0.591
La: 0.922 0.428 0.092
La: 0.992 0.008 0.250
Nd: 0.000 0.500 0.500
Nd: 0.500 0.000 0.000
Y: 0.488 0.512 0.750
Y: 0.512 0.488 0.250

Record 6
PaGaBi: relaxed, GGA-PBE.

Computed properties:
For the energy above the most stable polymorph in this dataset, the calculation gives 0.189 eV/atom. The total energy comes out at -0.399 Ry per atom. The value obtained for the energy of formation is 33 meV per atom.

Cell lengths 3.513, 3.513, 12.174 Å; angles 90.00, 90.00, 90.00 degrees
Sites, in units of the cell vectors:
Pa: 0.000 0.000 0.000
Pa: 0.500 0.500 0.500
Ga: 0.000 0.000 0.355
Ga: 0.500 0.500 0.855
Bi: 0.000 0.000 0.693
Bi: 0.500 0.500 0.193